Density functional theory data (PBE) for a relaxed structure of Ba2MnCo.

Output
The space-group type is Imm2. Its energy above the most stable polymorph in this dataset is 0.138 eV/atom. Its formation energy is 456.7 meV per atom. The volume comes out at 145.9 Å³ per cell.

Unit cell a=8.1951 b=8.1951 c=8.1951 alpha=150.21 beta=147.64 gamma=44.55
With the nearest neighbours (Å) after each atom.
Atoms (fractional coordinates):
1 Ba 0.0000 0.0000 0.0000  2 Mn 3.34, 4 Co 3.44
2 Ba 0.7525 0.2525 0.5000  2 Co 3.23, 4 Mn 3.37
3 Mn 0.3394 0.8394 0.5000  2 Co 2.32
4 Co 0.4028 0.4028 0.0000  2 Mn 2.32